[1]
A plane-wave DFT calculation with PBE was carried out for a relaxed structure of CeTlRh.

Properties
ΔH_f (0 K)   -409 meV per atom
Fermi-level density of states   6.4 states/eV/f.u.
SG   F-43m
Total DFT energy (no corrections)   -5.63 eV per atom

abc: 4.7571 4.7571 4.7571
angles: 60.00 60.00 60.00
Last column: nearest neighbours and their distance in Å.
Positions (direct):
Ce  0.0000  0.0000  0.0000  4 Rh 2.91
Tl  0.5000  0.5000  0.5000  4 Rh 2.91
Rh  0.2500  0.2500  0.2500  4 Tl 2.91, 4 Ce 2.91



[2]
A plane-wave DFT calculation with PBE was carried out for a relaxed structure of Pm8AgGe2.

Properties
ΔH_f (0 K)   -313 meV per atom
Fermi-level density of states   13.1 states/eV/f.u.
SG   C2/m
Total DFT energy (no corrections)   -4.87 eV per atom

abc: 9.9944 9.9944 6.9601
angles: 102.96 102.96 28.58
Last column: nearest neighbours and their distance in Å.
Positions (direct):
Pm  0.0279  0.0279  0.2691  2 Ag 3.06, 1 Ge 3.06
Pm  0.2113  0.2113  0.8336  3 Ge 3.10-3.33, 2 Pm 3.40
Pm  0.3379  0.3379  0.5063  3 Ge 3.06-3.07, 1 Ag 3.15, 2 Pm 3.40
Pm  0.4064  0.4064  0.0234  2 Ge 3.37, 1 Ag 3.39, 9 Pm 3.54-3.72
Pm  0.5936  0.5936  0.9766  2 Ge 3.37, 1 Ag 3.39, 9 Pm 3.54-3.72
Pm  0.6621  0.6621  0.4937  3 Ge 3.06-3.07, 1 Ag 3.15, 2 Pm 3.40
Pm  0.7887  0.7887  0.1664  3 Ge 3.10-3.33, 2 Pm 3.40
Pm  0.9721  0.9721  0.7309  2 Ag 3.06, 1 Ge 3.06
Ag  0.5000  0.5000  0.5000  8 Pm 3.06-3.39
Ge  0.1848  0.1848  0.2556  9 Pm 3.06-3.37
Ge  0.8152  0.8152  0.7444  9 Pm 3.06-3.37



[3]
A plane-wave DFT calculation with PBE was carried out for a relaxed structure of SrHoIrAu.

Properties
ΔH_f (0 K)   -524 meV per atom
Fermi-level density of states   1.9 states/eV/f.u.
SG   F-43m
Total DFT energy (no corrections)   -5.12 eV per atom

abc: 5.0651 5.0651 5.0651
angles: 60.00 60.00 60.00
Last column: nearest neighbours and their distance in Å.
Positions (direct):
Sr  0.0000  0.0000  0.0000  4 Au 3.10, 4 Ir 3.10
Ho  0.5000  0.5000  0.5000  4 Au 3.10, 4 Ir 3.10
Ir  0.2500  0.2500  0.2500  4 Ho 3.10, 4 Sr 3.10
Au  0.7500  0.7500  0.7500  4 Ho 3.10, 4 Sr 3.10